A geometry-optimized Dy6AsPt2Se3 structure. Source: Alexandria, functional PBE-GGA.

abc: 4.0368 8.3702 9.3521
angles: 105.86 102.46 90.00
Last column: nearest neighbours and their distance in Å.
Fractional coordinates of all 12 atoms:
Dy 0.3333 0.8864 0.6666  2 Pt 2.82, 1 As 2.92, 3 Se 2.99-3.06
Dy 0.6672 0.5851 0.3343  3 Pt 2.82-2.85, 3 Se 2.93-3.01
Dy 0.6667 0.1136 0.3334  2 Pt 2.82, 1 As 2.92, 3 Se 2.99-3.06
Dy 0.0077 0.2479 0.0154  1 Pt 2.87, 2 As 2.87, 3 Se 2.95-2.97
Dy 0.9923 0.7521 0.9846  1 Pt 2.87, 2 As 2.87, 3 Se 2.95-2.97
Dy 0.3328 0.4149 0.6657  3 Pt 2.82-2.85, 3 Se 2.93-3.01
As 0.5000 0.0000 0.0000  6 Dy 2.87-2.92
Pt 0.8287 0.6481 0.6575  6 Dy 2.82-2.87
Pt 0.1713 0.3519 0.3425  6 Dy 2.82-2.87
Se 0.5000 0.5000 0.0000  6 Dy 2.93-2.95
Se 0.8385 0.1521 0.6769  6 Dy 2.97-3.06
Se 0.1615 0.8479 0.3231  6 Dy 2.97-3.06

Total magnetic moment   0.00 μB per cell
Formation energy from raw total energies   -1.54 eV/atom